[1]
DFT (GGA-PBE) results for an optimized crystal structure of TaRuN2O.

## Properties
The total energy comes out at -41.946 eV/cell. The value obtained for the energy relative to the elements, uncorrected is 158 meV per atom. The value obtained for the density of states at the Fermi level is 4.27 states/eV/cell.

Cell lengths 4.0900, 4.0900, 3.8917 Å; angles 90.00, 90.00, 90.00 degrees
With the nearest neighbours (Å) after each atom.
Space group P4/mmm (No. 123)
Inequivalent atoms, fractional coordinates:
Ta (0.0000, 0.0000, 0.0000) [1 per cell]  2 O 1.95, 4 N 2.04
Ru (0.5000, 0.5000, 0.5000) [1 per cell]  8 N 2.82, 4 O 2.89
N (0.0000, 0.5000, 0.0000) [2 per cell]  2 Ta 2.04
O (0.0000, 0.0000, 0.5000) [1 per cell]  2 Ta 1.95

[2]
DFT (GGA-PBE) results for an optimized crystal structure of AlPd3Pb.

## Properties
The total energy comes out at -19.142 eV/cell. The value obtained for the density of states at the Fermi level is 3.32 states/eV/cell. The value obtained for the offset from the most stable computed form is 0.856 eV/atom.

Cell lengths 5.0383, 5.0383, 5.0383 Å; angles 90.00, 90.00, 90.00 degrees
With the nearest neighbours (Å) after each atom.
Space group Pm-3m (No. 221)
Inequivalent atoms, fractional coordinates:
Al (0.0000, 0.0000, 0.0000) [1 per cell]  12 Pd 3.56
Pd (0.0000, 0.5000, 0.5000) [3 per cell]  2 Pb 2.52
Pb (0.5000, 0.5000, 0.5000) [1 per cell]  6 Pd 2.52

[3]
DFT (GGA-PBE) results for an optimized crystal structure of Pu2ThIn.

## Properties
The total energy comes out at -39.155 eV/cell. The value obtained for the density of states at the Fermi level is 10.96 states/eV/cell. The value obtained for the offset from the most stable computed form is 0.000 eV/atom.

Cell lengths 4.6575, 4.6575, 5.0362 Å; angles 90.00, 90.00, 90.00 degrees
With the nearest neighbours (Å) after each atom.
Space group P4/mmm (No. 123)
Inequivalent atoms, fractional coordinates:
Pu (0.0000, 0.5000, 0.0000) [2 per cell]  4 Pu 3.29, 4 In 3.43, 4 Th 3.43
Th (0.0000, 0.0000, 0.5000) [1 per cell]  4 In 3.29, 8 Pu 3.43
In (0.5000, 0.5000, 0.5000) [1 per cell]  4 Th 3.29, 8 Pu 3.43

[4]
DFT (GGA-PBE) results for an optimized crystal structure of Cd2SnBi.

## Properties
The total energy comes out at -19.023 eV/cell. The value obtained for the density of states at the Fermi level is 2.57 states/eV/cell. The value obtained for the offset from the most stable computed form is 0.000 eV/atom.

Cell lengths 5.0707, 5.8460, 7.4428 Å; angles 90.00, 90.29, 90.00 degrees
With the nearest neighbours (Å) after each atom.
Space group P2_1 (No. 4)
Inequivalent atoms, fractional coordinates:
Cd (0.1322, 0.0000, 0.4835) [2 per cell]  4 Cd 2.93-3.23, 2 Bi 3.07-3.27
Cd (0.3538, 0.4978, 0.3044) [2 per cell]  2 Cd 2.93-3.04, 2 Sn 3.08-3.12, 2 Bi 3.24
Sn (0.1429, 0.9968, 0.9354) [2 per cell]  3 Cd 3.08-3.36, 3 Bi 3.19-3.42, 2 Sn 3.40
Bi (0.3944, 0.4974, 0.7719) [2 per cell]  4 Cd 3.07-3.27, 3 Sn 3.19-3.42

| no. | M_tot (μB per atom) |
| --- | --- |
| 1 | 0.719 |
| 2 | 0.000 |
| 3 | 2.979 |
| 4 | 0.000 |